(1)
# YNiGeMo GGA-PBE optimized geometry
data_YNiGeMo
_symmetry_space_group_name_H-M 'F -4 3 m'
_symmetry_Int_Tables_number 216
_symmetry_space_group_name_Hall 'F -4 2 3'
_cell_length_a 6.4353
_cell_length_b 6.4353
_cell_length_c 6.4353
_cell_angle_alpha 90.00
_cell_angle_beta 90.00
_cell_angle_gamma 90.00
loop_
_atom_site_label
_atom_site_fract_x
_atom_site_fract_y
_atom_site_fract_z
Y1 0.0000 0.0000 0.0000
Ni1 0.2500 0.2500 0.7500
Ge1 0.0000 0.0000 0.5000
Mo1 0.2500 0.2500 0.2500
# Total magnetic moment ... 0.66 μB/f.u.
# Uncorrected energy ... -107.6 eV per cell
# Crystal system ... cubic

=====

(2)
# ZnNiGeMo GGA-PBE optimized geometry
data_ZnNiGeMo
_symmetry_space_group_name_H-M 'F -4 3 m'
_symmetry_Int_Tables_number 216
_symmetry_space_group_name_Hall 'F -4 2 3'
_cell_length_a 6.0557
_cell_length_b 6.0557
_cell_length_c 6.0557
_cell_angle_alpha 90.00
_cell_angle_beta 90.00
_cell_angle_gamma 90.00
loop_
_atom_site_label
_atom_site_fract_x
_atom_site_fract_y
_atom_site_fract_z
Zn1 0.0000 0.0000 0.0000
Ni1 0.2500 0.2500 0.7500
Ge1 0.0000 0.0000 0.5000
Mo1 0.2500 0.2500 0.2500
# Total magnetic moment ... 0.13 μB/f.u.
# Uncorrected energy ... -87.9 eV per cell
# Crystal system ... cubic

=====

(3)
# ZrNiGeMo GGA-PBE optimized geometry
data_ZrNiGeMo
_symmetry_space_group_name_H-M 'F -4 3 m'
_symmetry_Int_Tables_number 216
_symmetry_space_group_name_Hall 'F -4 2 3'
_cell_length_a 6.3026
_cell_length_b 6.3026
_cell_length_c 6.3026
_cell_angle_alpha 90.00
_cell_angle_beta 90.00
_cell_angle_gamma 90.00
loop_
_atom_site_label
_atom_site_fract_x
_atom_site_fract_y
_atom_site_fract_z
Zr1 0.0000 0.0000 0.0000
Ni1 0.2500 0.2500 0.7500
Ge1 0.0000 0.0000 0.5000
Mo1 0.2500 0.2500 0.2500
# Total magnetic moment ... 0.00 μB/f.u.
# Uncorrected energy ... -119.2 eV per cell
# Crystal system ... cubic

=====

(4)
# NpGeMo GGA-PBE optimized geometry
data_NpGeMo
_symmetry_space_group_name_H-M 'F -4 3 m'
_symmetry_Int_Tables_number 216
_symmetry_space_group_name_Hall 'F -4 2 3'
_cell_length_a 6.2888
_cell_length_b 6.2888
_cell_length_c 6.2888
_cell_angle_alpha 90.00
_cell_angle_beta 90.00
_cell_angle_gamma 90.00
loop_
_atom_site_label
_atom_site_fract_x
_atom_site_fract_y
_atom_site_fract_z
Np1 0.0000 0.0000 0.0000
Ge1 0.0000 0.0000 0.5000
Mo1 0.2500 0.2500 0.7500
# Total magnetic moment ... 3.16 μB/f.u.
# Uncorrected energy ... -108.8 eV per cell
# Crystal system ... cubic

=====

(5)
# GeMoOs2 GGA-PBE optimized geometry
data_GeMoOs2
_symmetry_space_group_name_H-M 'F -4 3 m'
_symmetry_Int_Tables_number 216
_symmetry_space_group_name_Hall 'F -4 2 3'
_cell_length_a 6.2024
_cell_length_b 6.2024
_cell_length_c 6.2024
_cell_angle_alpha 90.00
_cell_angle_beta 90.00
_cell_angle_gamma 90.00
loop_
_atom_site_label
_atom_site_fract_x
_atom_site_fract_y
_atom_site_fract_z
Ge1 0.0000 0.0000 0.0000
Mo1 0.2500 0.2500 0.2500
Os1 0.0000 0.0000 0.5000
Os2 0.2500 0.2500 0.7500
# Total magnetic moment ... 0.04 μB/f.u.
# Uncorrected energy ... -145.7 eV per cell
# Crystal system ... cubic

=====

(6)
# GeMo2Os GGA-PBE optimized geometry
data_GeMo2Os
_symmetry_space_group_name_H-M 'F -4 3 m'
_symmetry_Int_Tables_number 216
_symmetry_space_group_name_Hall 'F -4 2 3'
_cell_length_a 6.2239
_cell_length_b 6.2239
_cell_length_c 6.2239
_cell_angle_alpha 90.00
_cell_angle_beta 90.00
_cell_angle_gamma 90.00
loop_
_atom_site_label
_atom_site_fract_x
_atom_site_fract_y
_atom_site_fract_z
Ge1 0.0000 0.0000 0.0000
Mo1 0.0000 0.0000 0.5000
Mo2 0.2500 0.2500 0.7500
Os1 0.2500 0.2500 0.2500
# Total magnetic moment ... 0.01 μB/f.u.
# Uncorrected energy ... -147.4 eV per cell
# Crystal system ... cubic

=====

(7)
# GeMoPd2 GGA-PBE optimized geometry
data_GeMoPd2
_symmetry_space_group_name_H-M 'F -4 3 m'
_symmetry_Int_Tables_number 216
_symmetry_space_group_name_Hall 'F -4 2 3'
_cell_length_a 6.2570
_cell_length_b 6.2570
_cell_length_c 6.2570
_cell_angle_alpha 90.00
_cell_angle_beta 90.00
_cell_angle_gamma 90.00
loop_
_atom_site_label
_atom_site_fract_x
_atom_site_fract_y
_atom_site_fract_z
Ge1 0.0000 0.0000 0.0000
Mo1 0.2500 0.2500 0.2500
Pd1 0.0000 0.0000 0.5000
Pd2 0.2500 0.2500 0.7500
# Total magnetic moment ... 0.49 μB/f.u.
# Uncorrected energy ... -104.6 eV per cell
# Crystal system ... cubic

=====

(8)
# Ge4Mo3Pt GGA-PBE optimized geometry
data_Ge4Mo3Pt
_symmetry_space_group_name_H-M 'P m -3 m'
_symmetry_Int_Tables_number 221
_symmetry_space_group_name_Hall '-P 4 2 3'
_cell_length_a 5.1845
_cell_length_b 5.1845
_cell_length_c 5.1845
_cell_angle_alpha 90.00
_cell_angle_beta 90.00
_cell_angle_gamma 90.00
loop_
_atom_site_label
_atom_site_fract_x
_atom_site_fract_y
_atom_site_fract_z
Ge1 0.0000 0.0000 0.0000
Ge2 0.0000 0.5000 0.5000
Mo1 0.0000 0.0000 0.5000
Pt1 0.5000 0.5000 0.5000
# Total magnetic moment ... 3.63 μB/f.u.
# Uncorrected energy ... -54.2 eV per cell
# Crystal system ... cubic